Compound: SrC
Source: Alexandria via LeMat-Bulk
Functional: PBE-GGA
Structure: optimized geometry

Values from the calculation:
ΔE to the lowest computed polymorph: 68.95 kJ/mol of atoms
volume: 24.2 Å³ per atom
uncorrected energy: -4.705 eV per atom
ΔE_f: 72.1 kJ/mol of atoms
crystal system: tetragonal
spin magnetization: 0.0 μB per formula unit

Lattice parameters (Å, degrees): 11.5841 11.5841 2.8838 90.00 90.00 90.00
With the nearest neighbours (Å) after each atom.
Space group P4/m (No. 83)
Asymmetric unit:
1 Sr 0.0667 0.2446 0.0000  3 C 2.54-2.72
2 Sr 0.2748 0.5971 0.5000  6 C 2.65-2.90, 2 Sr 2.88
3 C 0.1892 0.3772 0.5000  2 C 1.58
4 C 0.2328 0.4102 0.0000  2 C 1.58

Compound: Sr3C
Source: Alexandria via LeMat-Bulk
Functional: PBE-GGA
Structure: optimized geometry

Values from the calculation:
ΔE to the lowest computed polymorph: 93.49 kJ/mol of atoms
volume: 33.1 Å³ per atom
uncorrected energy: -2.197 eV per atom
ΔE_f: 132.2 kJ/mol of atoms
crystal system: cubic
spin magnetization: 0.0 μB per formula unit

Lattice parameters (Å, degrees): 8.0925 8.0925 8.0925 90.00 90.00 90.00
With the nearest neighbours (Å) after each atom.
Space group Fm-3m (No. 225)
Asymmetric unit:
1 Sr 0.0000 0.0000 0.0000  8 Sr 3.50
2 Sr 0.2500 0.2500 0.2500  4 Sr 3.50, 4 C 3.50
3 C 0.0000 0.0000 0.5000  8 Sr 3.50

Compound: Sr5C
Source: Alexandria via LeMat-Bulk
Functional: PBE-GGA
Structure: optimized geometry

Values from the calculation:
ΔE to the lowest computed polymorph: 17.58 kJ/mol of atoms
volume: 41.1 Å³ per atom
uncorrected energy: -2.435 eV per atom
ΔE_f: 48.6 kJ/mol of atoms
crystal system: orthorhombic
spin magnetization: 0.0 μB per formula unit

Lattice parameters (Å, degrees): 3.7401 28.9055 4.5639 90.00 90.00 90.00
With the nearest neighbours (Å) after each atom.
Space group Cmmm (No. 65)
Asymmetric unit:
1 Sr 0.0000 0.0000 0.0000  4 C 2.95, 4 Sr 3.22
2 Sr 0.0000 0.0786 0.5000  2 C 2.94, 2 Sr 3.22
3 Sr 0.0000 0.3148 0.0000  4 Sr 3.74-4.19
4 C 0.0000 0.5000 0.5000  8 Sr 2.94-2.95

Compound: Sr2C
Source: Alexandria via LeMat-Bulk
Functional: PBE-GGA
Structure: optimized geometry

Values from the calculation:
ΔE to the lowest computed polymorph: 48.19 kJ/mol of atoms
volume: 25.7 Å³ per atom
uncorrected energy: -3.572 eV per atom
ΔE_f: 60.2 kJ/mol of atoms
crystal system: cubic
spin magnetization: 0.0 μB per formula unit

Lattice parameters (Å, degrees): 6.7597 6.7597 6.7597 90.00 90.00 90.00
With the nearest neighbours (Å) after each atom.
Space group Fm-3m (No. 225)
Asymmetric unit:
1 Sr 0.2500 0.2500 0.2500  4 C 2.93
2 C 0.0000 0.0000 0.0000  8 Sr 2.93